A relaxed CsSr2ZnPd crystal, computed with GGA-PBE.

abc: 6.0569 6.0569 5.2484
angles: 90.00 90.00 90.00
Closest atoms and distances in Å follow each position.
Sites, in units of the cell vectors:
Cs: 0.0000 0.0000 0.0000  8 Sr 4.01, 4 Zn 4.28
Sr: 0.0000 0.5000 0.5000  2 Pd 3.03
Sr: 0.5000 0.0000 0.5000  2 Pd 3.03
Zn: 0.5000 0.5000 0.0000  2 Pd 2.62
Pd: 0.5000 0.5000 0.5000  2 Zn 2.62

## Properties
V   38.5 Å³ per atom
Formation energy   -111 meV/atom
Total moment   0.00 μB/f.u.

=====

A relaxed CsTaPd3 crystal, computed with GGA-PBE.

abc: 5.0942 5.0942 5.0942
angles: 90.00 90.00 90.00
Closest atoms and distances in Å follow each position.
Sites, in units of the cell vectors:
Cs: 0.0000 0.0000 0.0000  6 Pd 2.55
Ta: 0.5000 0.5000 0.5000  12 Pd 3.60
Pd: 0.0000 0.0000 0.5000  2 Cs 2.55
Pd: 0.0000 0.5000 0.0000  2 Cs 2.55
Pd: 0.5000 0.0000 0.0000  2 Cs 2.55

## Properties
V   26.4 Å³ per atom
Formation energy   2222 meV/atom
Total moment   0.00 μB/f.u.

=====

A relaxed CsTa2Pd crystal, computed with GGA-PBE.

abc: 4.8018 4.8018 4.8018
angles: 60.00 60.00 60.00
Closest atoms and distances in Å follow each position.
Sites, in units of the cell vectors:
Cs: 0.0000 0.0000 0.0000  8 Ta 2.94
Ta: 0.2500 0.2500 0.2500  4 Pd 2.94, 4 Cs 2.94
Ta: 0.7500 0.7500 0.7500  4 Cs 2.94, 4 Pd 2.94
Pd: 0.5000 0.5000 0.5000  8 Ta 2.94

## Properties
V   19.6 Å³ per atom
Formation energy   1434 meV/atom
Total moment   0.00 μB/f.u.